Computed, not measured: a relaxed Th2U2Te2Se5 crystal at the PBE level of DFT.

Results
Uncorrected formation energy   -1.05 eV/atom
SG   I4/mmm

Unit cell a=13.556 b=13.556 c=13.556 alpha=156.62 beta=156.62 gamma=33.30
Fractional positions:
1 Th 0.162 0.162 0.000
2 Th 0.838 0.838 0.000
3 U 0.396 0.396 0.000
4 U 0.604 0.604 0.000
5 Te 0.279 0.279 0.000
6 Te 0.721 0.721 0.000
7 Se 0.114 0.614 0.500
8 Se 0.386 0.886 0.500
9 Se 0.500 0.500 0.000
10 Se 0.614 0.114 0.500
11 Se 0.886 0.386 0.500

***

Computed, not measured: a relaxed Rb2CI6O crystal at the PBE level of DFT.

Results
Uncorrected formation energy   0.00 eV/atom
SG   I4/mmm

Unit cell a=8.537 b=8.537 c=8.537 alpha=131.43 beta=131.43 gamma=71.13
Fractional positions:
1 Rb 0.250 0.750 0.500
2 Rb 0.750 0.250 0.500
3 C 0.000 0.000 0.000
4 I 0.202 0.202 0.000
5 I 0.255 0.255 0.510
6 I 0.255 0.745 0.000
7 I 0.745 0.255 0.000
8 I 0.745 0.745 0.490
9 I 0.798 0.798 0.000
10 O 0.500 0.500 0.000

***

Computed values of final energy (unit: eV for the cell shown) for the preceding records, in sequence: -72.62; -25.40.